*A*
First-principles (meta-GGA SCAN) data for a PBEsol-optimized structure of K2ZrSc, as listed in Alexandria.

Summary:
SG: No. 166

Cell and atoms, written as extended XYZ:
```
4
Lattice="1.628 0.940 13.611 -1.628 0.940 13.611 0.000 -1.880 13.611" Properties=species:S:1:pos:R:3 pbc="T T T"
K 0.000 0.000 10.183
K 0.000 0.000 30.650
Zr 0.000 0.000 20.417
Sc 0.000 0.000 0.000
```

=====

*B*
First-principles (meta-GGA SCAN) data for a PBEsol-optimized structure of K2ZrSc, as listed in Alexandria.

Summary:
SG: No. 47

Cell and atoms, written as extended XYZ:
```
4
Lattice="3.070 0.000 0.000 0.000 6.264 0.000 0.000 0.000 6.751" Properties=species:S:1:pos:R:3 pbc="T T T"
K 0.000 1.552 0.000
K 0.000 4.712 0.000
Zr 1.535 0.000 3.376
Sc 1.535 3.132 3.376
```

=====

Stability, highest: *A*

=====

*A*
First-principles (meta-GGA SCAN) data for a PBEsol-optimized structure of KSe2, as listed in Alexandria.

Summary:
SG: No. 63

Cell and atoms, written as extended XYZ:
```
6
Lattice="2.340 -5.947 0.000 2.340 5.947 0.000 0.000 0.000 6.537" Properties=species:S:1:pos:R:3 pbc="T T T"
K 2.340 4.321 4.903
K 2.340 -4.321 1.634
Se 2.340 4.184 1.634
Se 2.340 0.890 4.903
Se 2.340 -0.890 1.634
Se 2.340 -4.184 4.903
```

=====

*B*
First-principles (meta-GGA SCAN) data for a PBEsol-optimized structure of KSe2, as listed in Alexandria.

Summary:
SG: No. 194

Cell and atoms, written as extended XYZ:
```
6
Lattice="5.286 0.000 0.000 -2.643 4.577 0.000 0.000 0.000 6.120" Properties=species:S:1:pos:R:3 pbc="T T T"
K 0.000 3.052 1.530
K 2.643 1.526 4.590
Se 0.000 0.000 0.000
Se 0.000 0.000 3.060
Se 0.000 3.052 4.590
Se 2.643 1.526 1.530
```

=====

Stability, highest: *A*

=====

*A*
First-principles (meta-GGA SCAN) data for a PBEsol-optimized structure of KSe2, as listed in Alexandria.

Summary:
SG: No. 12

Cell and atoms, written as extended XYZ:
```
6
Lattice="5.503 -2.507 0.000 5.503 2.507 0.000 -1.813 0.000 6.775" Properties=species:S:1:pos:R:3 pbc="T T T"
K 0.443 0.000 2.086
K 8.749 0.000 4.688
Se 1.299 0.000 6.768
Se 3.679 0.000 2.354
Se 5.513 0.000 4.421
Se 7.893 0.000 0.007
```

=====

*B*
First-principles (meta-GGA SCAN) data for a PBEsol-optimized structure of KSe2, as listed in Alexandria.

Summary:
SG: No. 58

Cell and atoms, written as extended XYZ:
```
6
Lattice="4.523 0.000 0.000 0.000 7.252 0.000 0.000 0.000 6.154" Properties=species:S:1:pos:R:3 pbc="T T T"
K 0.000 0.000 0.000
K 2.262 3.626 3.077
Se 1.123 3.110 0.000
Se 1.139 6.736 3.077
Se 3.385 0.515 3.077
Se 3.400 4.141 0.000
```

=====

*C*
First-principles (meta-GGA SCAN) data for a PBEsol-optimized structure of KSe2, as listed in Alexandria.

Summary:
SG: No. 141

Cell and atoms, written as extended XYZ:
```
6
Lattice="-2.245 2.245 8.995 2.245 -2.245 8.995 2.245 2.245 -8.995" Properties=species:S:1:pos:R:3 pbc="T T T"
K 2.245 1.122 2.249
K 0.000 1.122 6.746
Se 2.245 -1.122 5.025
Se 2.245 -1.122 8.467
Se 0.000 3.367 0.528
Se 0.000 3.367 3.970
```

=====

Stability, highest: *A*

=====

*A*
First-principles (meta-GGA SCAN) data for a PBEsol-optimized structure of KTl2Se, as listed in Alexandria.

Summary:
SG: No. 99

Cell and atoms, written as extended XYZ:
```
4
Lattice="4.038 0.000 0.000 0.000 4.038 0.000 0.000 0.000 7.189" Properties=species:S:1:pos:R:3 pbc="T T T"
K 0.000 0.000 0.000
Tl 0.000 0.000 3.283
Tl 2.019 2.019 4.837
Se 2.019 2.019 1.880
```

=====

*B*
First-principles (meta-GGA SCAN) data for a PBEsol-optimized structure of KTl2Se, as listed in Alexandria.

Summary:
SG: No. 71

Cell and atoms, written as extended XYZ:
```
4
Lattice="-1.905 2.702 5.562 1.905 -2.702 5.562 1.905 2.702 -5.562" Properties=species:S:1:pos:R:3 pbc="T T T"
K 0.000 0.000 0.000
Tl 1.905 0.000 3.202
Tl 0.000 2.702 2.360
Se 0.000 0.000 5.562
```

=====

Stability, highest: *B*

=====

*A*
First-principles (meta-GGA SCAN) data for a PBEsol-optimized structure of KTl2Se, as listed in Alexandria.

Summary:
SG: No. 123

Cell and atoms, written as extended XYZ:
```
4
Lattice="4.049 0.000 0.000 0.000 4.049 0.000 0.000 0.000 7.208" Properties=species:S:1:pos:R:3 pbc="T T T"
K 0.000 0.000 0.000
Tl 2.025 2.025 2.125
Tl 2.025 2.025 5.082
Se 0.000 0.000 3.604
```

=====

*B*
First-principles (meta-GGA SCAN) data for a PBEsol-optimized structure of KTl2Se, as listed in Alexandria.

Summary:
SG: No. 6

Cell and atoms, written as extended XYZ:
```
4
Lattice="4.540 0.000 0.000 0.000 4.540 0.000 -0.015 0.000 6.071" Properties=species:S:1:pos:R:3 pbc="T T T"
K 0.000 0.000 0.000
Tl 2.252 0.000 2.953
Tl 4.521 2.270 2.952
Se 2.255 2.270 5.036
```

=====

Stability, highest: *B*

=====

*A*
First-principles (meta-GGA SCAN) data for a PBEsol-optimized structure of KSi3, as listed in Alexandria.

Summary:
SG: No. 221

Cell and atoms, written as extended XYZ:
```
4
Lattice="4.220 0.000 0.000 0.000 4.220 0.000 0.000 0.000 4.220" Properties=species:S:1:pos:R:3 pbc="T T T"
K 0.000 0.000 0.000
Si 0.000 2.110 2.110
Si 2.110 0.000 2.110
Si 2.110 2.110 0.000
```

=====

*B*
First-principles (meta-GGA SCAN) data for a PBEsol-optimized structure of KSi3, as listed in Alexandria.

Summary:
SG: No. 63

Cell and atoms, written as extended XYZ:
```
8
Lattice="3.702 -6.476 0.000 3.702 6.476 0.000 0.000 0.000 3.523" Properties=species:S:1:pos:R:3 pbc="T T T"
K 3.702 5.230 2.642
K 3.702 -5.230 0.881
Si 2.556 2.664 0.881
Si 3.702 1.049 2.642
Si 4.849 2.664 0.881
Si 2.556 -2.664 2.642
Si 3.702 -1.049 0.881
Si 4.849 -2.664 2.642
```

=====

Stability, highest: *B*

=====

*A*
First-principles (meta-GGA SCAN) data for a PBEsol-optimized structure of KTaSi2, as listed in Alexandria.

Summary:
SG: No. 65

Cell and atoms, written as extended XYZ:
```
4
Lattice="3.404 -3.860 0.000 3.404 3.860 0.000 0.000 0.000 2.728" Properties=species:S:1:pos:R:3 pbc="T T T"
K 0.000 0.000 0.000
Ta 3.404 0.000 0.000
Si 1.702 1.930 1.364
Si 1.702 -1.930 1.364
```

=====

*B*
First-principles (meta-GGA SCAN) data for a PBEsol-optimized structure of KTaSi2, as listed in Alexandria.

Summary:
SG: No. 25

Cell and atoms, written as extended XYZ:
```
4
Lattice="2.809 0.000 0.000 0.000 4.353 0.000 0.000 0.000 8.070" Properties=species:S:1:pos:R:3 pbc="T T T"
K 0.000 0.000 0.000
Ta 1.404 2.176 4.671
Si 0.000 0.000 4.837
Si 1.404 2.176 2.232
```

=====

Stability, highest: *B*

=====

*A*
First-principles (meta-GGA SCAN) data for a PBEsol-optimized structure of KSi2W, as listed in Alexandria.

Summary:
SG: No. 8

Cell and atoms, written as extended XYZ:
```
4
Lattice="4.168 -1.561 0.000 4.168 1.561 0.000 -3.448 0.000 6.819" Properties=species:S:1:pos:R:3 pbc="T T T"
K 0.000 0.000 0.000
Si -1.160 0.000 4.205
Si 2.354 0.000 2.443
W 4.767 0.000 3.310
```

=====

*B*
First-principles (meta-GGA SCAN) data for a PBEsol-optimized structure of KSi2W, as listed in Alexandria.

Summary:
SG: No. 225

Cell and atoms, written as extended XYZ:
```
4
Lattice="0.000 3.254 3.254 3.254 0.000 3.254 3.254 3.254 0.000" Properties=species:S:1:pos:R:3 pbc="T T T"
K 0.000 0.000 0.000
Si 1.627 1.627 1.627
Si 4.881 4.881 4.881
W 3.254 3.254 3.254
```

=====

*C*
First-principles (meta-GGA SCAN) data for a PBEsol-optimized structure of KSi2W, as listed in Alexandria.

Summary:
SG: No. 119

Cell and atoms, written as extended XYZ:
```
4
Lattice="-1.968 1.968 4.535 1.968 -1.968 4.535 1.968 1.968 -4.535" Properties=species:S:1:pos:R:3 pbc="T T T"
K 0.000 0.000 0.000
Si 0.000 0.000 4.535
Si 0.000 1.968 2.268
W 1.968 0.000 2.268
```

=====

Stability, highest: *A*

=====

*A*
First-principles (meta-GGA SCAN) data for a PBEsol-optimized structure of KSiW, as listed in Alexandria.

Summary:
SG: No. 216

Cell and atoms, written as extended XYZ:
```
3
Lattice="0.000 3.242 3.242 3.242 0.000 3.242 3.242 3.242 0.000" Properties=species:S:1:pos:R:3 pbc="T T T"
K 0.000 0.000 0.000
Si 1.621 1.621 1.621
W 3.242 3.242 3.242
```

=====

*B*
First-principles (meta-GGA SCAN) data for a PBEsol-optimized structure of KSiW, as listed in Alexandria.

Summary:
SG: No. 107

Cell and atoms, written as extended XYZ:
```
3
Lattice="-1.382 1.382 7.537 1.382 -1.382 7.537 1.382 1.382 -7.537" Properties=species:S:1:pos:R:3 pbc="T T T"
K 0.000 0.000 0.000
Si 0.000 0.000 10.206
W 0.000 0.000 4.487
```

=====

Stability, highest: *B*

=====

*A*
First-principles (meta-GGA SCAN) data for a PBEsol-optimized structure of KYSi, as listed in Alexandria.

Summary:
SG: No. 156

Cell and atoms, written as extended XYZ:
```
3
Lattice="4.667 0.000 0.000 -2.333 4.041 0.000 0.000 0.000 5.758" Properties=species:S:1:pos:R:3 pbc="T T T"
K 0.000 0.000 0.000
Y 2.333 1.347 2.812
Si 0.000 2.694 2.108
```

=====

*B*
First-principles (meta-GGA SCAN) data for a PBEsol-optimized structure of KYSi, as listed in Alexandria.

Summary:
SG: No. 216

Cell and atoms, written as extended XYZ:
```
3
Lattice="0.000 3.597 3.597 3.597 0.000 3.597 3.597 3.597 0.000" Properties=species:S:1:pos:R:3 pbc="T T T"
K 0.000 0.000 0.000
Y 3.597 3.597 3.597
Si 1.799 1.799 1.799
```

=====

Stability, highest: *B*

=====

*A*
First-principles (meta-GGA SCAN) data for a PBEsol-optimized structure of K4Sr, as listed in Alexandria.

Summary:
SG: No. 87

Cell and atoms, written as extended XYZ:
```
5
Lattice="-5.108 5.108 3.154 5.108 -5.108 3.154 5.108 5.108 -3.154" Properties=species:S:1:pos:R:3 pbc="T T T"
K 7.173 1.026 0.000
K 1.026 3.044 0.000
K 4.083 2.065 3.154
K -2.065 4.083 3.154
Sr 0.000 0.000 3.154
```

=====

*B*
First-principles (meta-GGA SCAN) data for a PBEsol-optimized structure of K4Sr, as listed in Alexandria.

Summary:
SG: No. 229

Cell and atoms, written as extended XYZ:
```
5
Lattice="-4.823 4.823 4.823 4.823 -4.823 4.823 4.823 4.823 -4.823" Properties=species:S:1:pos:R:3 pbc="T T T"
K 2.412 2.412 -2.412
K 2.412 -2.412 2.412
K -2.412 2.412 2.412
K 2.412 2.412 2.412
Sr 0.000 0.000 0.000
```

=====

Stability, highest: *A*

=====

*A*
First-principles (meta-GGA SCAN) data for a PBEsol-optimized structure of K2SrY, as listed in Alexandria.

Summary:
SG: No. 139

Cell and atoms, written as extended XYZ:
```
4
Lattice="-2.678 2.678 6.802 2.678 -2.678 6.802 2.678 2.678 -6.802" Properties=species:S:1:pos:R:3 pbc="T T T"
K 2.678 0.000 3.401
K 0.000 2.678 3.401
Sr 0.000 0.000 0.000
Y 0.000 0.000 6.802
```

=====

*B*
First-principles (meta-GGA SCAN) data for a PBEsol-optimized structure of K2SrY, as listed in Alexandria.

Summary:
SG: No. 216

Cell and atoms, written as extended XYZ:
```
4
Lattice="0.000 4.638 4.638 4.638 0.000 4.638 4.638 4.638 0.000" Properties=species:S:1:pos:R:3 pbc="T T T"
K 0.000 0.000 0.000
K 2.319 2.319 2.319
Sr 6.958 6.958 6.958
Y 4.638 4.638 4.638
```

=====

Stability, highest: *A*